# Pm2GePPt6, optimized geometry, DFT PBE-GGA
# - ΔH_f (0 K): -0.911 eV/atom
# - DOS(E_F): 0.380 states/eV per atom
# - Symmetry: Pmmn, No. 59
data_Pm2GePPt6
_chemical_formula_sum 'Pm4 Ge2 P2 Pt12'
_space_group_name_H-M_alt 'P 1'
_space_group_IT_number 1
_cell_length_a 5.576
_cell_length_b 8.444
_cell_length_c 8.383
_cell_angle_alpha 90.00
_cell_angle_beta 90.00
_cell_angle_gamma 90.00
loop_
_space_group_symop_operation_xyz
'x,y,z'
loop_
_atom_site_label
_atom_site_type_symbol
_atom_site_fract_x
_atom_site_fract_y
_atom_site_fract_z
Pm1 Pm 0.250 0.006 0.232
Pm2 Pm 0.250 0.494 0.232
Pm3 Pm 0.750 0.506 0.768
Pm4 Pm 0.750 0.994 0.768
Ge1 Ge 0.250 0.750 0.777
Ge2 Ge 0.750 0.250 0.223
P1 P 0.250 0.250 0.755
P2 P 0.750 0.750 0.245
Pt1 Pt 0.000 0.250 0.491
Pt2 Pt 0.000 0.750 0.509
Pt3 Pt 0.002 0.250 0.980
Pt4 Pt 0.250 0.005 0.622
Pt5 Pt 0.250 0.495 0.622
Pt6 Pt 0.498 0.250 0.980
Pt7 Pt 0.500 0.250 0.491
Pt8 Pt 0.500 0.750 0.509
Pt9 Pt 0.502 0.750 0.020
Pt10 Pt 0.750 0.505 0.378
Pt11 Pt 0.750 0.995 0.378
Pt12 Pt 0.998 0.750 0.020